# BaMg2Bi2 PBE-GGA optimized geometry
# * excess energy over the best structure of this formula in the dataset: 0.073 eV/atom
# * final energy: -0.2288 Ry/atom
# * ρ: 5.55 g/cm3
# * DFT formation energy: -0.5377 eV/atom
# * total magnetic moment: 0.00 μB/atom
# * DOS(E_F): 0.00 states/eV/atom
data_BaMg2Bi2
_chemical_formula_sum 'Ba8 Mg16 Bi16'
_space_group_name_H-M_alt 'F d d d'
_space_group_IT_number 70
_cell_length_a 9.964
_cell_length_b 11.949
_cell_length_c 12.140
_cell_angle_alpha 90.00
_cell_angle_beta 90.00
_cell_angle_gamma 90.00
loop_
_space_group_symop_operation_xyz
'x,y,z'
'-x,-y,-z'
'-x+1/4,-y+1/4,z'
'x+1/4,y+1/4,-z'
'x,-y+1/4,-z+1/4'
'-x,y+1/4,z+1/4'
'-x+1/4,y,-z+1/4'
'x+1/4,-y,z+1/4'
'x,y+1/2,z+1/2'
'-x,-y+1/2,-z+1/2'
'-x+1/4,-y+3/4,z+1/2'
'x+1/4,y+3/4,-z+1/2'
'x,-y+3/4,-z+3/4'
'-x,y+3/4,z+3/4'
'-x+1/4,y+1/2,-z+3/4'
'x+1/4,-y+1/2,z+3/4'
'x+1/2,y,z+1/2'
'-x+1/2,-y,-z+1/2'
'-x+3/4,-y+1/4,z+1/2'
'x+3/4,y+1/4,-z+1/2'
'x+1/2,-y+1/4,-z+3/4'
'-x+1/2,y+1/4,z+3/4'
'-x+3/4,y,-z+3/4'
'x+3/4,-y,z+3/4'
'x+1/2,y+1/2,z'
'-x+1/2,-y+1/2,-z'
'-x+3/4,-y+3/4,z'
'x+3/4,y+3/4,-z'
'x+1/2,-y+3/4,-z+1/4'
'-x+1/2,y+3/4,z+1/4'
'-x+3/4,y+1/2,-z+1/4'
'x+3/4,-y+1/2,z+1/4'
loop_
_atom_site_label
_atom_site_fract_x
_atom_site_fract_y
_atom_site_fract_z
_atom_site_occupancy
Ba1 0.125 0.125 0.125 1
Mg1 0.125 0.257 0.625 1
Bi1 0.125 0.125 0.416 1


# BaMg2Bi2 PBE-GGA optimized geometry
# * excess energy over the best structure of this formula in the dataset: 0.306 eV/atom
# * final energy: -0.2117 Ry/atom
# * ρ: 6.29 g/cm3
# * DFT formation energy: -0.3049 eV/atom
# * total magnetic moment: 0.00 μB/atom
# * DOS(E_F): 0.36 states/eV/atom
data_BaMg2Bi2
_chemical_formula_sum 'Ba2 Mg4 Bi4'
_space_group_name_H-M_alt 'P 4/m b m'
_space_group_IT_number 127
_space_group_name_Hall '-P 4 2ab'
_cell_length_a 9.211
_cell_length_b 9.211
_cell_length_c 3.758
_cell_angle_alpha 90.00
_cell_angle_beta 90.00
_cell_angle_gamma 90.00
loop_
_atom_site_label
_atom_site_fract_x
_atom_site_fract_y
_atom_site_fract_z
_atom_site_occupancy
Ba1 0.000 0.000 0.000 1
Mg1 0.134 0.366 0.500 1
Bi1 0.155 0.655 0.000 1


# BaMgBi2 PBE-GGA optimized geometry
# * final energy: -0.2330 Ry/atom
# * ρ: 5.45 g/cm3
# * DFT formation energy: -0.3506 eV/atom
# * total magnetic moment: 0.00 μB/atom
# * DOS(E_F): 0.44 states/eV/atom
data_BaMgBi2
_chemical_formula_sum 'Ba4 Mg4 Bi8'
_space_group_name_H-M_alt 'I -4 2 d'
_space_group_IT_number 122
_space_group_name_Hall 'I -4 2bw'
_cell_length_a 6.186
_cell_length_b 6.186
_cell_length_c 18.458
_cell_angle_alpha 90.00
_cell_angle_beta 90.00
_cell_angle_gamma 90.00
loop_
_atom_site_label
_atom_site_fract_x
_atom_site_fract_y
_atom_site_fract_z
_atom_site_occupancy
Ba1 0.000 0.000 0.000 1
Mg1 0.000 0.000 0.500 1
Bi1 0.094 0.250 0.625 1


# BaMgBi2 PBE-GGA optimized geometry
# * final energy: -0.2373 Ry/atom
# * ρ: 6.78 g/cm3
# * DFT formation energy: -0.4091 eV/atom
# * total magnetic moment: 0.00 μB/atom
# * DOS(E_F): 0.87 states/eV/atom
data_BaMgBi2
_chemical_formula_sum 'Ba3 Mg3 Bi6'
_space_group_name_H-M_alt 'R -3 m'
_space_group_IT_number 166
_space_group_name_Hall '-R 3 2"'
_cell_length_a 5.2104
_cell_length_b 5.2104
_cell_length_c 18.1006
_cell_angle_alpha 90.00
_cell_angle_beta 90.00
_cell_angle_gamma 120.00
loop_
_atom_site_label
_atom_site_fract_x
_atom_site_fract_y
_atom_site_fract_z
_atom_site_occupancy
Ba1 0.0000 0.0000 0.0000 1
Mg1 0.0000 0.0000 0.5000 1
Bi1 0.0000 0.0000 0.2175 1